# PBE PuNpI4, relaxed
# Energy ... -6.452 eV/atom
# Calculated density ... 6.315 g cm⁻³
# Density of states at the Fermi level ... 18.9 states/eV/f.u.
# Spin magnetization ... 1.833 μB/atom
data_PuNpI4
_cell_length_a 17.3126
_cell_length_b 4.2615
_cell_length_c 7.3943
_cell_angle_alpha 90.00
_cell_angle_beta 107.62
_cell_angle_gamma 90.00
_symmetry_space_group_name_H-M 'C 1 2/m 1'
_symmetry_Int_Tables_number 12
loop_
_symmetry_equiv_pos_as_xyz
'x,y,z'
'-x,-y,-z'
'-x,y,-z'
'x,-y,z'
'x+1/2,y+1/2,z'
'-x+1/2,-y+1/2,-z'
'-x+1/2,y+1/2,-z'
'x+1/2,-y+1/2,z'
loop_
_atom_site_label
_atom_site_type_symbol
_atom_site_fract_x
_atom_site_fract_y
_atom_site_fract_z
Pu1 Pu 0.0000 0.0000 0.0000
Np1 Np 0.0000 0.5000 0.5000
I1 I 0.1200 0.0000 0.4188
I2 I 0.1199 0.5000 0.9169

***

# PBE CdGa4Au, relaxed
# Formation energy ... 0.086 eV per atom
# Calculated density ... 8.240 g cm⁻³
# Density of states at the Fermi level ... 2.2 states/eV/f.u.
# Spin magnetization ... 0.000 μB/atom
data_CdGa4Au
_cell_length_a 7.7982
_cell_length_b 7.7982
_cell_length_c 7.7982
_cell_angle_alpha 90.00
_cell_angle_beta 90.00
_cell_angle_gamma 90.00
_symmetry_space_group_name_H-M 'F -4 3 m'
_symmetry_Int_Tables_number 216
_symmetry_space_group_name_Hall 'F -4 2 3'
loop_
_atom_site_label
_atom_site_type_symbol
_atom_site_fract_x
_atom_site_fract_y
_atom_site_fract_z
Cd1 Cd 0.0000 0.0000 0.0000
Ga1 Ga 0.1247 0.1247 0.3753
Au1 Au 0.2500 0.2500 0.7500

***

# PBE TlInAu, relaxed
# Formation energy ... -0.120 eV per atom
# Calculated density ... 10.714 g cm⁻³
# Density of states at the Fermi level ... 0.8 states/eV/f.u.
# Spin magnetization ... 0.000 μB/atom
# Energy relative to the lowest polymorph listed for this composition ... 0.000 eV/atom
data_TlInAu
_cell_length_a 6.8399
_cell_length_b 6.8399
_cell_length_c 6.8399
_cell_angle_alpha 90.00
_cell_angle_beta 90.00
_cell_angle_gamma 90.00
_symmetry_space_group_name_H-M 'F -4 3 m'
_symmetry_Int_Tables_number 216
_symmetry_space_group_name_Hall 'F -4 2 3'
loop_
_atom_site_label
_atom_site_type_symbol
_atom_site_fract_x
_atom_site_fract_y
_atom_site_fract_z
Tl1 Tl 0.0000 0.0000 0.0000
In1 In 0.0000 0.0000 0.5000
Au1 Au 0.2500 0.2500 0.7500

***

# PBE Ac2MgZrS6, relaxed
# Energy ... -6.185 eV/atom
# Calculated density ... 5.252 g cm⁻³
# Density of states at the Fermi level ... 0.0 states/eV/f.u.
# Spin magnetization ... 0.000 μB/atom
data_Ac2MgZrS6
_cell_length_a 6.7373
_cell_length_b 7.3308
_cell_length_c 11.8107
_cell_angle_alpha 90.00
_cell_angle_beta 124.32
_cell_angle_gamma 90.00
_symmetry_space_group_name_H-M 'P 1 21/c 1'
_symmetry_Int_Tables_number 14
loop_
_symmetry_equiv_pos_as_xyz
'x,y,z'
'-x,-y,-z'
'-x,y+1/2,-z+1/2'
'x,-y+1/2,z+1/2'
loop_
_atom_site_label
_atom_site_type_symbol
_atom_site_fract_x
_atom_site_fract_y
_atom_site_fract_z
Ac1 Ac 0.2200 0.0895 0.2484
Mg1 Mg 0.0000 0.0000 0.5000
Zr1 Zr 0.5000 0.0000 0.0000
S1 S 0.1369 0.1889 0.9486
S2 S 0.2640 0.6952 0.9480
S3 S 0.3520 0.0227 0.7488

***

# PBE Tb7Pm16Tm6, relaxed
# Formation energy ... 0.220 eV per atom
# Calculated density ... 7.330 g cm⁻³
# Density of states at the Fermi level ... 40.6 states/eV/f.u.
# Spin magnetization ... 0.000 μB/atom
data_Tb7Pm16Tm6
_cell_length_a 15.9122
_cell_length_b 15.9122
_cell_length_c 15.9122
_cell_angle_alpha 90.00
_cell_angle_beta 90.00
_cell_angle_gamma 90.00
_symmetry_space_group_name_H-M 'F m -3 m'
_symmetry_Int_Tables_number 225
_symmetry_space_group_name_Hall '-F 4 2 3'
loop_
_atom_site_label
_atom_site_type_symbol
_atom_site_fract_x
_atom_site_fract_y
_atom_site_fract_z
Tb1 Tb 0.0000 0.0000 0.0000
Tb2 Tb 0.0000 0.2500 0.2500
Pm1 Pm 0.1247 0.1247 0.1247
Pm2 Pm 0.1493 0.1493 0.3507
Tm1 Tm 0.0000 0.0000 0.2644

***

# PBE KMgIn, relaxed
# Formation energy ... 0.036 eV per atom
# Calculated density ... 3.102 g cm⁻³
# Density of states at the Fermi level ... 1.6 states/eV/f.u.
# Spin magnetization ... 0.000 μB/atom
# Energy relative to the lowest polymorph listed for this composition ... 0.099 eV/atom
data_KMgIn
_cell_length_a 5.5014
_cell_length_b 5.5014
_cell_length_c 3.6397
_cell_angle_alpha 90.00
_cell_angle_beta 90.00
_cell_angle_gamma 120.00
_symmetry_space_group_name_H-M 'P -6 m 2'
_symmetry_Int_Tables_number 187
_symmetry_space_group_name_Hall 'P -6 2'
loop_
_atom_site_label
_atom_site_type_symbol
_atom_site_fract_x
_atom_site_fract_y
_atom_site_fract_z
K1 K 0.0000 0.0000 0.0000
Mg1 Mg 0.6667 0.3333 0.5000
In1 In 0.3333 0.6667 0.5000

***

# PBE CuAgS5, relaxed
# Energy ... -3.795 eV/atom
# Calculated density ... 3.374 g cm⁻³
# Density of states at the Fermi level ... 0.0 states/eV/f.u.
# Spin magnetization ... 0.000 μB/atom
data_CuAgS5
_cell_length_a 4.3763
_cell_length_b 16.8152
_cell_length_c 8.8759
_cell_angle_alpha 90.00
_cell_angle_beta 90.48
_cell_angle_gamma 90.00
_symmetry_space_group_name_H-M 'C 1 2/c 1'
_symmetry_Int_Tables_number 15
loop_
_symmetry_equiv_pos_as_xyz
'x,y,z'
'-x,-y,-z'
'-x,y,-z+1/2'
'x,-y,z+1/2'
'x+1/2,y+1/2,z'
'-x+1/2,-y+1/2,-z'
'-x+1/2,y+1/2,-z+1/2'
'x+1/2,-y+1/2,z+1/2'
loop_
_atom_site_label
_atom_site_type_symbol
_atom_site_fract_x
_atom_site_fract_y
_atom_site_fract_z
Cu1 Cu 0.0000 0.1452 0.2500
Ag1 Ag 0.2500 0.2500 0.5000
S1 S 0.0000 0.1596 0.7500
S2 S 0.1545 0.3567 0.9236
S3 S 0.2398 0.0770 0.8902

***

# PBE Ba3Li3Tl2, relaxed
# Formation energy ... -0.211 eV per atom
# Calculated density ... 4.886 g cm⁻³
# Density of states at the Fermi level ... 7.1 states/eV/f.u.
# Spin magnetization ... 0.000 μB/atom
# Energy relative to the lowest polymorph listed for this composition ... 0.000 eV/atom
data_Ba3Li3Tl2
_cell_length_a 9.4553
_cell_length_b 17.3811
_cell_length_c 6.9619
_cell_angle_alpha 90.00
_cell_angle_beta 90.00
_cell_angle_gamma 90.00
_symmetry_space_group_name_H-M 'P n m a'
_symmetry_Int_Tables_number 62
loop_
_symmetry_equiv_pos_as_xyz
'x,y,z'
'-x,-y,-z'
'-x+1/2,-y,z+1/2'
'x+1/2,y,-z+1/2'
'x+1/2,-y+1/2,-z+1/2'
'-x+1/2,y+1/2,z+1/2'
'-x,y+1/2,-z'
'x,-y+1/2,z'
loop_
_atom_site_label
_atom_site_type_symbol
_atom_site_fract_x
_atom_site_fract_y
_atom_site_fract_z
Ba1 Ba 0.0402 0.1008 0.1403
Ba2 Ba 0.1726 0.2500 0.6502
Li1 Li 0.1600 0.7500 0.5958
Li2 Li 0.1721 0.0362 0.6108
Tl1 Tl 0.1171 0.5968 0.3676